No. 1
VASP calculation (PBE) on an optimized crystal structure of ZnSnN3.

Output
Raw total energy ... -0.318 Ry per atom

Cell lengths 3.9668, 3.9668, 3.9668 Å; angles 90.00, 90.00, 90.00 degrees
Closest atoms and distances in Å follow each position.
Space group Pm-3m (No. 221)
One atom of each set of equivalent atoms:
Zn 0.0000 0.0000 0.0000 [1 per cell]  6 N 1.98
Sn 0.5000 0.5000 0.5000 [1 per cell]  12 N 2.80
N 0.0000 0.0000 0.5000 [3 per cell]  2 Zn 1.98

No. 2
VASP calculation (PBE) on an optimized crystal structure of Tl2GaGeS4.

Output
Raw total energy ... -0.294 Ry per atom

Cell lengths 5.9795, 13.3432, 22.3890 Å; angles 90.00, 90.00, 90.00 degrees
Closest atoms and distances in Å follow each position.
Space group Fddd (No. 70, origin choice 2)
One atom of each set of equivalent atoms:
Tl 0.1250 0.1250 0.2985 [16 per cell]  6 S 3.27-3.61
Ga 0.1250 0.1250 0.1250 [8 per cell]  4 S 2.30
Ge 0.1250 0.1250 0.6250 [8 per cell]  4 S 2.37
S 0.1158 0.2787 0.4305 [32 per cell]  1 Ga 2.30, 1 Ge 2.37

No. 3
VASP calculation (PBE) on an optimized crystal structure of TbTh4Si4.

Output
Raw total energy ... -0.487 Ry per atom

Cell lengths 9.0130, 9.0130, 5.9979 Å; angles 90.00, 90.00, 90.00 degrees
Closest atoms and distances in Å follow each position.
Space group P4_2/n (No. 86, origin choice 2)
One atom of each set of equivalent atoms:
Tb 0.2500 0.2500 0.2500 [2 per cell]  4 Si 2.79
Th 0.0648 0.6634 0.1195 [8 per cell]  5 Si 2.94-3.17
Si 0.0145 0.6160 0.6157 [8 per cell]  1 Si 2.52, 1 Tb 2.79

No. 4
VASP calculation (PBE) on an optimized crystal structure of MgZnPb2.

Output
Energy of formation ... 0.163 eV per atom
Offset from the most stable computed form ... 152.5 meV/atom
Raw total energy ... -0.177 Ry per atom

Cell lengths 8.2017, 8.2017, 6.3884 Å; angles 90.00, 90.00, 90.00 degrees
Closest atoms and distances in Å follow each position.
Space group I-42d (No. 122)
One atom of each set of equivalent atoms:
Mg 0.0000 0.0000 0.0000 [4 per cell]  4 Pb 3.19, 2 Zn 3.19
Zn 0.0000 0.0000 0.5000 [4 per cell]  4 Pb 2.84
Pb 0.2180 0.2500 0.6250 [8 per cell]  2 Zn 2.84

No. 5
VASP calculation (PBE) on an optimized crystal structure of ErScNiPd.

Output
Energy of formation ... -0.672 eV per atom
Offset from the most stable computed form ... 0.0 meV/atom
Raw total energy ... -0.451 Ry per atom

Cell lengths 3.3457, 3.3457, 6.6059 Å; angles 90.00, 90.00, 90.00 degrees
Closest atoms and distances in Å follow each position.
Space group P4mm (No. 99)
One atom of each set of equivalent atoms:
Er 0.0000 0.0000 0.0000 [1 per cell]  4 Ni 2.91, 4 Pd 3.00, 1 Sc 3.15
Sc 0.0000 0.0000 0.5227 [1 per cell]  4 Ni 2.78, 4 Pd 2.86
Ni 0.5000 0.5000 0.7424 [1 per cell]  4 Sc 2.78, 4 Er 2.91, 1 Pd 3.06
Pd 0.5000 0.5000 0.2791 [1 per cell]  4 Sc 2.86, 4 Er 3.00, 1 Ni 3.06

No. 6
VASP calculation (PBE) on an optimized crystal structure of MgMnS2.

Output
Raw total energy ... -0.413 Ry per atom

Cell lengths 3.6238, 3.6238, 18.9077 Å; angles 90.00, 90.00, 120.00 degrees
Closest atoms and distances in Å follow each position.
Space group R3m (No. 160, hexagonal axes)
One atom of each set of equivalent atoms:
Mg 0.0000 0.0000 0.0000 [3 per cell]  6 S 2.59-2.60
Mn 0.0000 0.0000 0.1680 [3 per cell]  6 S 2.63-2.65
S 0.0000 0.0000 0.4154 [3 per cell]  3 Mg 2.60, 3 Mn 2.65
S 0.0000 0.0000 0.5856 [3 per cell]  3 Mg 2.59, 3 Mn 2.63

No. 7
VASP calculation (PBE) on an optimized crystal structure of ThBePt3.

Output
Energy of formation ... -1.030 eV per atom
Offset from the most stable computed form ... 0.0 meV/atom
Raw total energy ... -0.506 Ry per atom

Cell lengths 4.0715, 4.0715, 10.5715 Å; angles 90.00, 90.00, 90.00 degrees
Closest atoms and distances in Å follow each position.
Space group I4mm (No. 107)
One atom of each set of equivalent atoms:
Th 0.0000 0.0000 0.0000 [2 per cell]  8 Pt 3.00-3.21, 4 Be 3.19
Be 0.0000 0.0000 0.6304 [2 per cell]  5 Pt 2.23-2.31
Pt 0.0000 0.0000 0.4194 [2 per cell]  1 Be 2.23
Pt 0.0000 0.5000 0.2342 [4 per cell]  2 Be 2.31

No. 8
VASP calculation (PBE) on an optimized crystal structure of Sr2LiGa4Ge3.

Output
Energy of formation ... -0.342 eV per atom
Raw total energy ... -0.255 Ry per atom

Cell lengths 4.5216, 4.5216, 10.8651 Å; angles 90.00, 90.00, 90.00 degrees
Closest atoms and distances in Å follow each position.
Space group P-4m2 (No. 115)
One atom of each set of equivalent atoms:
Sr 0.0000 0.5000 0.2482 [2 per cell]  6 Ge 3.45-3.52, 8 Ga 3.45-3.55, 2 Li 3.52
Li 0.5000 0.5000 0.0000 [1 per cell]  4 Ga 2.66
Ga 0.0000 0.0000 0.5000 [1 per cell]  4 Ge 2.68
Ga 0.0000 0.5000 0.8713 [2 per cell]  3 Ge 2.60-2.66, 2 Li 2.66
Ga 0.5000 0.5000 0.5000 [1 per cell]  4 Ge 2.68
Ge 0.0000 0.0000 0.0000 [1 per cell]  4 Ga 2.66
Ge 0.0000 0.5000 0.6324 [2 per cell]  5 Ga 2.60-2.68

No. 9
VASP calculation (PBE) on an optimized crystal structure of Mn2SiBrN.

Output
Raw total energy ... -0.456 Ry per atom

Cell lengths 4.9369, 4.9369, 3.5377 Å; angles 90.00, 90.00, 90.00 degrees
Closest atoms and distances in Å follow each position.
Space group P4/mmm (No. 123)
One atom of each set of equivalent atoms:
Mn 0.0000 0.5000 0.0000 [2 per cell]  2 Si 2.47
Si 0.0000 0.0000 0.0000 [1 per cell]  2 N 1.77
Br 0.5000 0.5000 0.5000 [1 per cell]  8 Mn 3.04
N 0.0000 0.0000 0.5000 [1 per cell]  2 Si 1.77

No. 10
VASP calculation (PBE) on an optimized crystal structure of AsIr2Rh.

Output
Energy of formation ... 0.249 eV per atom
Raw total energy ... -0.528 Ry per atom

Cell lengths 4.6170, 4.6170, 2.8070 Å; angles 90.00, 90.00, 90.00 degrees
Closest atoms and distances in Å follow each position.
Space group P4/mmm (No. 123)
One atom of each set of equivalent atoms:
As 0.0000 0.0000 0.0000 [1 per cell]  8 Ir 2.70, 2 As 2.81
Ir 0.0000 0.5000 0.5000 [2 per cell]  4 As 2.70, 4 Rh 2.70, 2 Ir 2.81
Rh 0.5000 0.5000 0.0000 [1 per cell]  8 Ir 2.70, 2 Rh 2.81

No. 11
VASP calculation (PBE) on an optimized crystal structure of Li2AgP2.

Output
Energy of formation ... -0.145 eV per atom
Offset from the most stable computed form ... 252.4 meV/atom
Raw total energy ... -0.268 Ry per atom

Cell lengths 3.9553, 3.9553, 10.3510 Å; angles 90.00, 90.00, 90.00 degrees
Closest atoms and distances in Å follow each position.
Space group I4/mmm (No. 139)
One atom of each set of equivalent atoms:
Li 0.0000 0.5000 0.2500 [4 per cell]  4 P 2.50
Ag 0.0000 0.0000 0.0000 [2 per cell]  8 P 2.99, 8 Li 3.26
P 0.0000 0.0000 0.3970 [4 per cell]  1 P 2.13

No. 12
VASP calculation (PBE) on an optimized crystal structure of LiCaZr2.

Output
Energy of formation ... 0.299 eV per atom
Offset from the most stable computed form ... 128.5 meV/atom
Raw total energy ... -0.364 Ry per atom

Cell lengths 10.8453, 3.2235, 5.9738 Å; angles 90.00, 109.40, 90.00 degrees
Closest atoms and distances in Å follow each position.
Space group Cm (No. 8)
One atom of each set of equivalent atoms:
Li 0.0000 0.0000 0.0000 [2 per cell]  3 Ca 3.03-3.07, 2 Zr 3.05, 2 Li 3.22
Ca 0.2498 0.0000 0.8648 [2 per cell]  3 Li 3.03-3.07, 2 Ca 3.22, 2 Zr 3.35
Zr 0.2165 0.5000 0.3564 [2 per cell]  5 Zr 3.01-3.22, 2 Li 3.05, 2 Ca 3.35
Zr 0.4640 0.0000 0.4813 [2 per cell]  5 Zr 3.01-3.22